! RbBaVF6 PBE+U optimized geometry; values from VASP
! - volume (Å³ per atom) = 15.7
! - total energy (eV/cell) = -50.65
&SYSTEM
  ibrav = 0, nat = 9, ntyp = 4
/
ATOMIC_SPECIES
Rb 85.47 Rb.upf
Ba 137.33 Ba.upf
V 50.94 V.upf
F 19.00 F.upf
ATOMIC_POSITIONS angstrom
Rb 0.000 0.000 0.000
Ba 6.815 0.000 2.043
V 3.406 0.000 3.438
F 4.218 1.412 2.317
F 1.783 0.000 2.313
F 5.120 0.000 4.446
F 7.655 1.467 4.441
F 4.218 -1.412 2.317
F 7.655 -1.467 4.441
CELL_PARAMETERS angstrom
5.111 -2.957 0.000
5.111 2.957 0.000
-0.003 0.000 4.678